# Be2SbIrS (PBE, optimized geometry)
# - Mass density: 7.62 g cm⁻³
# - Density of states at the Fermi level: 2.96 states/eV/f.u.
# - Magnetic moment: 0.000 μB per formula unit
# - Uncorrected formation energy: 0.50 eV per atom
# - Uncorrected energy: -4.41 eV per atom
data_Be2SbIrS
_chemical_formula_sum 'Be2 Sb1 Ir1 S1'
_cell_length_a 4.052
_cell_length_b 4.052
_cell_length_c 4.831
_cell_angle_alpha 90.00
_cell_angle_beta 90.00
_cell_angle_gamma 90.00
_space_group_name_H-M_alt 'P 4/m m m'
_space_group_IT_number 123
_space_group_name_Hall '-P 4 2'
loop_
_atom_site_label
_atom_site_fract_x
_atom_site_fract_y
_atom_site_fract_z
_atom_site_occupancy
Be1 0.000 0.500 0.000 1
Sb1 0.000 0.000 0.500 1
Ir1 0.500 0.500 0.500 1
S1 0.500 0.500 0.000 1

=====

# BeSiIrS2 (PBE, optimized geometry)
# - Mass density: 6.64 g cm⁻³
# - Density of states at the Fermi level: 2.76 states/eV/f.u.
# - Magnetic moment: 0.000 μB per formula unit
# - Uncorrected formation energy: 0.83 eV per atom
# - Uncorrected energy: -4.42 eV per atom
data_BeSiIrS2
_chemical_formula_sum 'Be1 Si1 Ir1 S2'
_cell_length_a 4.188
_cell_length_b 4.188
_cell_length_c 4.183
_cell_angle_alpha 90.00
_cell_angle_beta 90.00
_cell_angle_gamma 90.00
_space_group_name_H-M_alt 'P 4/m m m'
_space_group_IT_number 123
_space_group_name_Hall '-P 4 2'
loop_
_atom_site_label
_atom_site_fract_x
_atom_site_fract_y
_atom_site_fract_z
_atom_site_occupancy
Be1 0.000 0.000 0.000 1
Si1 0.000 0.000 0.500 1
Ir1 0.500 0.500 0.500 1
S1 0.000 0.500 0.000 1

=====

# Sr2BeIrS (PBE, optimized geometry)
# - Mass density: 4.81 g cm⁻³
# - Density of states at the Fermi level: 4.11 states/eV/f.u.
# - Magnetic moment: 0.000 μB per formula unit
# - Uncorrected formation energy: -0.08 eV per atom
# - Uncorrected energy: -4.10 eV per atom
data_Sr2BeIrS
_chemical_formula_sum 'Sr2 Be1 Ir1 S1'
_cell_length_a 5.714
_cell_length_b 5.714
_cell_length_c 4.321
_cell_angle_alpha 90.00
_cell_angle_beta 90.00
_cell_angle_gamma 90.00
_space_group_name_H-M_alt 'P 4/m m m'
_space_group_IT_number 123
_space_group_name_Hall '-P 4 2'
loop_
_atom_site_label
_atom_site_fract_x
_atom_site_fract_y
_atom_site_fract_z
_atom_site_occupancy
Sr1 0.000 0.500 0.000 1
Be1 0.000 0.000 0.500 1
Ir1 0.500 0.500 0.500 1
S1 0.500 0.500 0.000 1

=====

# TiBeIrS2 (PBE, optimized geometry)
# - Mass density: 7.26 g cm⁻³
# - Density of states at the Fermi level: 2.90 states/eV/f.u.
# - Magnetic moment: 0.000 μB per formula unit
# - Uncorrected formation energy: 0.51 eV per atom
# - Uncorrected energy: -5.24 eV per atom
data_TiBeIrS2
_chemical_formula_sum 'Ti1 Be1 Ir1 S2'
_cell_length_a 4.089
_cell_length_b 4.089
_cell_length_c 4.286
_cell_angle_alpha 90.00
_cell_angle_beta 90.00
_cell_angle_gamma 90.00
_space_group_name_H-M_alt 'P 4/m m m'
_space_group_IT_number 123
_space_group_name_Hall '-P 4 2'
loop_
_atom_site_label
_atom_site_fract_x
_atom_site_fract_y
_atom_site_fract_z
_atom_site_occupancy
Ti1 0.000 0.000 0.000 1
Be1 0.000 0.000 0.500 1
Ir1 0.500 0.500 0.000 1
S1 0.000 0.500 0.500 1